The following is a DFT calculation (GGA-PBE) of crystalline TbHfNi2 at its relaxed geometry.

Unit cell a=3.262 b=3.262 c=6.709 alpha=90.00 beta=90.00 gamma=90.00
Fractional coordinates of all 4 atoms:
1 Ni 0.000 0.000 0.792
2 Ni 0.000 0.000 0.208
3 Hf 0.500 0.500 0.000
4 Tb 0.500 0.500 0.500

Properties
E_form	-0.41	eV/atom
ρ	10.6	Mg/m³
energy relative to the lowest polymorph listed for this composition	0	kJ/mol of formula units
DOS at the Fermi energy	4.4	states/eV/f.u.
crystal system	tetragonal
uncorrected energy	-6.949	eV per atom

The following is a DFT calculation (GGA-PBE) of crystalline Dy3Sc2Zn2 at its relaxed geometry.

Unit cell a=3.503 b=3.404 c=14.863 alpha=90.00 beta=83.23 gamma=90.00
Site moments in Bohr magnetons follow the coordinates.
Fractional coordinates of all 7 atoms:
1 Zn 0.562 0.500 0.876  0.00
2 Zn 0.438 0.500 0.124  0.00
3 Dy 0.875 0.000 0.251  0.12
4 Dy 0.125 0.000 0.749  0.12
5 Dy 0.000 0.000 0.000  -0.03
6 Sc 0.295 0.500 0.410  0.26
7 Sc 0.705 0.500 0.590  0.26

Properties
E_form	-0.08	eV/atom
ρ	6.7	Mg/m³
energy relative to the lowest polymorph listed for this composition	16	kJ/mol of formula units
DOS at the Fermi energy	10.3	states/eV/f.u.
crystal system	orthorhombic
uncorrected energy	-4.227	eV per atom

The following is a DFT calculation (GGA-PBE) of crystalline CaReF2 at its relaxed geometry.

Unit cell a=5.334 b=5.334 c=6.144 alpha=64.27 beta=64.27 gamma=90.00
Site moments in Bohr magnetons follow the coordinates.
Fractional coordinates of all 8 atoms:
1 F 0.596 0.125 0.250  0.00
2 F 0.875 0.846 0.750  0.01
3 F 0.154 0.625 0.250  0.01
4 F 0.375 0.404 0.750  0.01
5 Ca 0.500 0.500 0.000  -0.01
6 Ca 0.250 0.750 0.500  -0.01
7 Re 0.000 0.000 0.000  0.92
8 Re 0.750 0.250 0.500  0.93

Properties
ρ	6.4	Mg/m³
energy relative to the lowest polymorph listed for this composition	0	kJ/mol of formula units
DOS at the Fermi energy	1.7	states/eV/f.u.
crystal system	tetragonal
uncorrected energy	-5.279	eV per atom